# 1
4
Lattice="3.925 0.000 0.000 0.000 4.238 0.000 -1.963 0.000 5.822" Properties=species:S:1:pos:R:3 comment="PBE PrThPdRh, optimized geometry" delta_e_f_ev_per_atom=-0.8296 magmom_total_mub_per_cell=0.0 energy_ev_per_atom=-7.015 pbc="T T T"
Th 1.963 2.119 4.306
Pd 1.963 2.119 0.999
Pr 0.000 0.000 1.671
Rh 0.000 0.000 4.668

# 2
16
Lattice="4.477 0.000 0.000 -2.239 8.380 0.000 0.000 0.000 9.134" Properties=species:S:1:pos:R:3 comment="PBE Pr2Zn5Cd, optimized geometry" delta_e_f_ev_per_atom=-0.3065 magmom_total_mub_per_cell=0.0 energy_ev_per_atom=-2.412 pbc="T T T"
Zn 0.000 6.658 2.283
Zn 0.000 5.785 8.978
Zn 0.000 3.075 8.143
Zn 0.000 3.075 5.558
Zn 0.000 5.785 4.723
Zn 2.239 5.305 0.991
Zn 2.239 5.305 3.576
Zn 2.239 1.722 6.850
Zn 2.239 2.595 4.411
Zn 2.239 2.595 0.156
Pr 0.000 3.466 2.283
Pr 0.000 0.000 0.000
Pr 0.000 0.000 4.567
Pr 2.239 4.914 6.850
Cd 0.000 7.442 6.850
Cd 2.239 0.938 2.283